Record 1
Here is crystalline Na2AlCuH6 at its relaxed geometry from the Alexandria database. Energies are from PBE-GGA.

abc: 7.047 7.055 7.879
angles: 90.00 90.00 90.00
Space group Fmm2 (No. 42)
Inequivalent atoms, fractional coordinates:
1 Na 0.250 0.250 0.000 x8
2 Al 0.000 0.000 0.240 x4
3 Cu 0.000 0.000 0.775 x4
4 H 0.000 0.000 0.456 x4
5 H 0.000 0.000 0.992 x4
6 H 0.000 0.248 0.728 x8
7 H 0.247 0.000 0.727 x8

Computed properties:
As for the electronic total energy: -125.612 eV per cell. The volume comes out at 392 Å³ per cell.

---

Record 2
Here is crystalline Nb2AlCuH at its relaxed geometry from the Alexandria database. Energies are from PBE-GGA.

abc: 3.968 3.968 4.256
angles: 90.00 90.00 90.00
Space group P4/mmm (No. 123)
Inequivalent atoms, fractional coordinates:
1 Nb 0.000 0.500 0.000 x2
2 Al 0.000 0.000 0.500 x1
3 Cu 0.500 0.500 0.500 x1
4 H 0.500 0.500 0.000 x1

Computed properties:
As for the electronic total energy: -32.142 eV per cell. The volume comes out at 67 Å³ per cell.

---

Record 3
Here is crystalline AlCuNi2H at its relaxed geometry from the Alexandria database. Energies are from PBE-GGA.

abc: 3.595 3.595 3.799
angles: 90.00 90.00 90.00
Space group P4/mmm (No. 123)
Inequivalent atoms, fractional coordinates:
1 Al 0.000 0.000 0.000 x1
2 Cu 0.500 0.500 0.000 x1
3 Ni 0.000 0.500 0.500 x2
4 H 0.000 0.000 0.500 x1

Computed properties:
As for the electronic total energy: -23.771 eV per cell. The excess energy over the best structure of this formula in the dataset comes out at 88 meV/atom. The volume comes out at 49 Å³ per cell.

---

Record 4
Here is crystalline AlCuNi2H at its relaxed geometry from the Alexandria database. Energies are from PBE-GGA.

abc: 3.657 3.657 3.658
angles: 90.00 90.00 90.00
Space group P4/mmm (No. 123)
Inequivalent atoms, fractional coordinates:
1 Al 0.000 0.000 0.000 x1
2 Cu 0.500 0.500 0.000 x1
3 Ni 0.000 0.500 0.500 x2
4 H 0.500 0.500 0.500 x1

Computed properties:
As for the electronic total energy: -24.212 eV per cell. The excess energy over the best structure of this formula in the dataset comes out at 0 meV/atom. The volume comes out at 49 Å³ per cell.

---

Record 5
Here is crystalline Al6CuP4H16O28 at its relaxed geometry from the Alexandria database. Energies are from PBE-GGA.

abc: 7.491 7.700 9.984
angles: 68.34 69.65 65.42
Space group P-1 (No. 2)
Inequivalent atoms, fractional coordinates:
1 Al 0.214 0.326 0.249 x2
2 Al 0.255 0.999 0.757 x2
3 Al 0.256 0.686 0.274 x2
4 Cu 0.500 0.500 0.000 x1
5 P 0.149 0.115 0.057 x2
6 P 0.340 0.889 0.460 x2
7 H 0.073 0.199 0.571 x2
8 H 0.089 0.417 0.666 x2
9 H 0.147 0.619 0.591 x2
10 H 0.157 0.685 0.048 x2
11 H 0.328 0.337 0.455 x2
12 H 0.357 0.338 0.820 x2
13 H 0.371 0.558 0.739 x2
14 H 0.487 0.842 0.918 x2
15 O 0.037 0.210 0.673 x2
16 O 0.072 0.544 0.683 x2
17 O 0.077 0.867 0.903 x2
18 O 0.169 0.279 0.097 x2
19 O 0.203 0.099 0.398 x2
20 O 0.230 0.145 0.887 x2
21 O 0.236 0.586 0.123 x2
22 O 0.268 0.426 0.371 x2
23 O 0.280 0.732 0.437 x2
24 O 0.282 0.911 0.134 x2
25 O 0.302 0.844 0.630 x2
26 O 0.435 0.137 0.613 x2
27 O 0.440 0.424 0.795 x2
28 O 0.488 0.780 0.847 x2

Computed properties:
As for the electronic total energy: -345.341 eV per cell. The volume comes out at 474 Å³ per cell.

---

Record 6
Here is crystalline AlCu2SbH12O12 at its relaxed geometry from the Alexandria database. Energies are from PBE-GGA.

abc: 9.191 9.230 9.789
angles: 89.79 89.75 61.17
Space group P1 (No. 1)
Inequivalent atoms, fractional coordinates:
1 Al 0.000 0.000 0.000 x1
2 Al 0.331 0.341 0.989 x1
3 Al 0.666 0.664 0.984 x1
4 Cu 0.006 0.676 0.990 x1
5 Cu 0.319 0.009 0.985 x1
6 Cu 0.344 0.664 0.994 x1
7 Cu 0.662 0.993 0.986 x1
8 Cu 0.672 0.326 0.999 x1
9 Cu 0.987 0.351 0.001 x1
10 Sb 0.009 0.999 0.505 x1
11 Sb 0.331 0.338 0.488 x1
12 Sb 0.661 0.693 0.481 x1
13 H 0.087 0.120 0.795 x1
14 H 0.116 0.729 0.381 x1
15 H 0.125 0.797 0.794 x1
16 H 0.133 0.476 0.788 x1
17 H 0.147 0.613 0.605 x1
18 H 0.170 0.105 0.374 x1
19 H 0.186 0.325 0.381 x1
20 H 0.188 0.302 0.195 x1
21 H 0.202 0.937 0.196 x1
22 H 0.238 0.146 0.605 x1
23 H 0.279 0.770 0.607 x1
24 H 0.282 0.531 0.197 x1
25 H 0.380 0.151 0.786 x1
26 H 0.387 0.901 0.369 x1
27 H 0.423 0.531 0.379 x1
28 H 0.471 0.401 0.788 x1
29 H 0.475 0.724 0.782 x1
30 H 0.510 0.568 0.602 x1
31 H 0.530 0.067 0.372 x1
32 H 0.532 0.974 0.597 x1
33 H 0.540 0.205 0.189 x1
34 H 0.540 0.879 0.181 x1
35 H 0.579 0.562 0.200 x1
36 H 0.605 0.272 0.602 x1
37 H 0.724 0.404 0.389 x1
38 H 0.729 0.798 0.781 x1
39 H 0.736 0.167 0.384 x1
40 H 0.765 0.963 0.602 x1
41 H 0.784 0.405 0.770 x1
42 H 0.807 0.068 0.793 x1
43 H 0.863 0.603 0.190 x1
44 H 0.872 0.189 0.206 x1
45 H 0.894 0.731 0.375 x1
46 H 0.915 0.272 0.642 x1
47 H 0.945 0.861 0.200 x1
48 H 0.954 0.524 0.595 x1
49 O 0.004 0.828 0.377 x1
50 O 0.062 0.143 0.616 x1
51 O 0.091 0.117 0.897 x1
52 O 0.116 0.796 0.896 x1
53 O 0.130 0.465 0.889 x1
54 O 0.146 0.505 0.608 x1
55 O 0.159 0.798 0.619 x1
56 O 0.184 0.993 0.368 x1
57 O 0.204 0.269 0.100 x1
58 O 0.206 0.914 0.096 x1
59 O 0.260 0.536 0.097 x1
60 O 0.318 0.526 0.370 x1
61 O 0.346 0.152 0.608 x1
62 O 0.400 0.144 0.886 x1
63 O 0.459 0.418 0.889 x1
64 O 0.468 0.746 0.881 x1
65 O 0.487 0.685 0.604 x1
66 O 0.491 0.365 0.610 x1
67 O 0.506 0.868 0.352 x1
68 O 0.526 0.176 0.369 x1
69 O 0.542 0.215 0.088 x1
70 O 0.549 0.880 0.079 x1
71 O 0.564 0.569 0.099 x1
72 O 0.636 0.520 0.372 x1
73 O 0.648 0.878 0.598 x1
74 O 0.753 0.780 0.880 x1
75 O 0.777 0.447 0.907 x1
76 O 0.786 0.369 0.665 x1
77 O 0.800 0.081 0.895 x1
78 O 0.817 0.035 0.623 x1
79 O 0.835 0.562 0.623 x1
80 O 0.838 0.177 0.379 x1
81 O 0.845 0.658 0.355 x1
82 O 0.869 0.585 0.089 x1
83 O 0.886 0.197 0.105 x1
84 O 0.918 0.880 0.102 x1

Computed properties:
As for the electronic total energy: -441.281 eV per cell. The volume comes out at 728 Å³ per cell.

---

Record 7
Here is crystalline Rb2AlCuH6 at its relaxed geometry from the Alexandria database. Energies are from PBE-GGA.

abc: 7.118 9.220 8.535
angles: 90.00 90.00 90.00
Space group Fmm2 (No. 42)
Inequivalent atoms, fractional coordinates:
1 Rb 0.250 0.250 0.000 x8
2 Al 0.000 0.000 0.250 x4
3 Cu 0.000 0.000 0.692 x4
4 H 0.000 0.000 0.054 x4
5 H 0.000 0.000 0.484 x4
6 H 0.000 0.183 0.265 x8
7 H 0.220 0.000 0.752 x8

Computed properties:
As for the electronic total energy: -123.390 eV per cell. The volume comes out at 560 Å³ per cell.

---

Record 8
Here is crystalline AlCu2HRh at its relaxed geometry from the Alexandria database. Energies are from PBE-GGA.

abc: 3.758 3.758 3.870
angles: 90.00 90.00 90.00
Space group P4/mmm (No. 123)
Inequivalent atoms, fractional coordinates:
1 Al 0.000 0.000 0.000 x1
2 Cu 0.000 0.500 0.500 x2
3 H 0.500 0.500 0.500 x1
4 Rh 0.500 0.500 0.000 x1

Computed properties:
As for the electronic total energy: -24.016 eV per cell. The excess energy over the best structure of this formula in the dataset comes out at 0 meV/atom. The volume comes out at 55 Å³ per cell.

---

Record 9
Here is crystalline AlCu2HRh at its relaxed geometry from the Alexandria database. Energies are from PBE-GGA.

abc: 4.619 4.619 3.052
angles: 90.00 90.00 90.00
Space group P4/mmm (No. 123)
Inequivalent atoms, fractional coordinates:
1 Al 0.000 0.000 0.000 x1
2 Cu 0.000 0.500 0.000 x2
3 H 0.000 0.000 0.500 x1
4 Rh 0.500 0.500 0.500 x1

Computed properties:
As for the electronic total energy: -19.869 eV per cell. The excess energy over the best structure of this formula in the dataset comes out at 830 meV/atom. The volume comes out at 65 Å³ per cell.

---

Record 10
Here is crystalline AlCu2HRu at its relaxed geometry from the Alexandria database. Energies are from PBE-GGA.

abc: 3.721 3.721 3.916
angles: 90.00 90.00 90.00
Space group P4/mmm (No. 123)
Inequivalent atoms, fractional coordinates:
1 Al 0.000 0.000 0.000 x1
2 Cu 0.000 0.500 0.500 x2
3 H 0.500 0.500 0.500 x1
4 Ru 0.500 0.500 0.000 x1

Computed properties:
As for the electronic total energy: -25.402 eV per cell. The volume comes out at 54 Å³ per cell.

---

Record 11
Here is crystalline AlCuHRu2 at its relaxed geometry from the Alexandria database. Energies are from PBE-GGA.

abc: 4.086 4.086 3.358
angles: 90.00 90.00 90.00
Space group P4/mmm (No. 123)
Inequivalent atoms, fractional coordinates:
1 Al 0.000 0.000 0.000 x1
2 Cu 0.500 0.500 0.000 x1
3 H 0.500 0.500 0.500 x1
4 Ru 0.000 0.500 0.500 x2

Computed properties:
As for the electronic total energy: -30.102 eV per cell. The volume comes out at 56 Å³ per cell.

---

Record 12
Here is crystalline Al2CuHRu at its relaxed geometry from the Alexandria database. Energies are from PBE-GGA.

abc: 4.103 4.103 3.425
angles: 90.00 90.00 90.00
Space group P4/mmm (No. 123)
Inequivalent atoms, fractional coordinates:
1 Al 0.000 0.500 0.000 x2
2 Cu 0.000 0.000 0.500 x1
3 H 0.500 0.500 0.000 x1
4 Ru 0.500 0.500 0.500 x1

Computed properties:
As for the electronic total energy: -25.167 eV per cell. The volume comes out at 58 Å³ per cell.

---

> What is the electronic total energy in the first record?

-125.612 eV per cell